Entry 1:
The following is a PBEsol calculation of a geometry-optimized SbBr structure, from Alexandria via LeMat-Bulk.

Results
Crystal system = monoclinic
Space group = No. 11
Energy above the lowest structure with this stoichiometry = 0.0 kJ per mole of atoms
E_form (uncorrected) = -0.2699 eV per atom
Total moment = 0.00 μB per cell

abc: 4.2897 4.4277 8.0021
angles: 100.55 90.00 90.00
Fractional positions:
Br  0.2500  0.1281  0.6863
Br  0.7500  0.8719  0.3137
Sb  0.7500  0.7206  0.9905
Sb  0.2500  0.2794  0.0095

Entry 2:
The following is a PBEsol calculation of a geometry-optimized SbBr3 structure, from Alexandria via LeMat-Bulk.

Results
Crystal system = orthorhombic
Space group = No. 59
E_form (uncorrected) = -0.4765 eV per atom
Total moment = 0.00 μB per cell

abc: 6.6228 9.3405 20.0167
angles: 90.00 90.00 90.00
Fractional positions:
Br  0.2129  0.0000  0.0000
Br  0.7871  0.5000  0.5000
Br  0.4792  0.0000  0.5961
Br  0.7285  0.8006  0.0000
Br  0.1344  0.7969  0.8411
Br  0.8656  0.7031  0.3411
Br  0.5208  0.5000  0.0961
Br  0.5208  0.5000  0.9039
Br  0.8656  0.2969  0.6589
Br  0.1344  0.2031  0.1589
Br  0.2715  0.3006  0.5000
Br  0.2715  0.6994  0.5000
Br  0.8656  0.7031  0.6589
Br  0.7285  0.1994  0.0000
Br  0.4792  0.0000  0.4039
Br  0.8656  0.2969  0.3411
Br  0.1344  0.2031  0.8411
Br  0.1344  0.7969  0.1589
Sb  0.9480  0.0000  0.8977
Sb  0.0520  0.5000  0.3977
Sb  0.0520  0.5000  0.6023
Sb  0.7636  0.5000  0.0000
Sb  0.2364  0.0000  0.5000
Sb  0.9480  0.0000  0.1023

- Look up the total moment of the second one.
  0.00 μB per cell